*a*
A crystal of Ca2MnCu relaxed with PBEsol, computed with meta-GGA SCAN.

Cell and atoms, written as CIF:
```
data_Ca2MnCu
_chemical_formula_sum 'Ca2 Mn1 Cu1'
_cell_length_a 4.060
_cell_length_b 4.316
_cell_length_c 5.899
_cell_angle_alpha 111.46
_cell_angle_beta 90.00
_cell_angle_gamma 90.00
_space_group_name_H-M_alt 'P 1'
_space_group_IT_number 1
loop_
_space_group_symop_operation_xyz
'x,y,z'
loop_
_atom_site_label
_atom_site_type_symbol
_atom_site_fract_x
_atom_site_fract_y
_atom_site_fract_z
Mn1 Mn 0.500 0.568 0.137
Ca1 Ca 0.500 0.268 0.535
Cu1 Cu 0.000 0.688 0.377
Ca2 Ca 0.000 0.978 0.955
```

Values from the calculation:
As for the magnetization: 3.8 Bohr magnetons per cell. The symmetry is Amm2, No. 38.

***

*b*
A crystal of Ca2MnCu relaxed with PBEsol, computed with meta-GGA SCAN.

Cell and atoms, written as CIF:
```
data_Ca2MnCu
_chemical_formula_sum 'Ca2 Mn1 Cu1'
_cell_length_a 4.315
_cell_length_b 4.315
_cell_length_c 5.665
_cell_angle_alpha 112.39
_cell_angle_beta 112.39
_cell_angle_gamma 90.00
_space_group_name_H-M_alt 'P 1'
_space_group_IT_number 1
loop_
_space_group_symop_operation_xyz
'x,y,z'
loop_
_atom_site_label
_atom_site_type_symbol
_atom_site_fract_x
_atom_site_fract_y
_atom_site_fract_z
Cu1 Cu 0.500 0.500 0.000
Ca1 Ca 0.750 0.250 0.500
Mn1 Mn 0.250 0.750 0.500
Ca2 Ca 0.000 0.000 0.000
```

Values from the calculation:
As for the magnetization: 4.2 Bohr magnetons per cell. The symmetry is I-4m2, No. 119.

***

Verdict on stability: *a* comes out on top.

***

*a*
A crystal of CsBi3Pt relaxed with PBEsol, computed with meta-GGA SCAN.

Cell and atoms, written as CIF:
```
data_CsBi3Pt
_chemical_formula_sum 'Cs1 Bi3 Pt1'
_cell_length_a 5.557
_cell_length_b 5.557
_cell_length_c 5.557
_cell_angle_alpha 90.00
_cell_angle_beta 90.00
_cell_angle_gamma 90.00
_space_group_name_H-M_alt 'P 1'
_space_group_IT_number 1
loop_
_space_group_symop_operation_xyz
'x,y,z'
loop_
_atom_site_label
_atom_site_type_symbol
_atom_site_fract_x
_atom_site_fract_y
_atom_site_fract_z
Bi1 Bi 0.000 0.000 0.500
Bi2 Bi 0.000 0.500 0.000
Pt1 Pt 0.000 0.000 0.000
Bi3 Bi 0.500 0.000 0.000
Cs1 Cs 0.500 0.500 0.500
```

Values from the calculation:
As for the magnetization: 0.0 Bohr magnetons per cell. The symmetry is Pm-3m, No. 221.

***

*b*
A crystal of CsBi3Pt relaxed with PBEsol, computed with meta-GGA SCAN.

Cell and atoms, written as CIF:
```
data_CsBi3Pt
_chemical_formula_sum 'Cs1 Bi3 Pt1'
_cell_length_a 6.009
_cell_length_b 6.009
_cell_length_c 6.009
_cell_angle_alpha 90.00
_cell_angle_beta 90.00
_cell_angle_gamma 90.00
_space_group_name_H-M_alt 'P 1'
_space_group_IT_number 1
loop_
_space_group_symop_operation_xyz
'x,y,z'
loop_
_atom_site_label
_atom_site_type_symbol
_atom_site_fract_x
_atom_site_fract_y
_atom_site_fract_z
Bi1 Bi 0.000 0.000 0.500
Pt1 Pt 0.500 0.500 0.500
Cs1 Cs 0.000 0.000 0.000
Bi2 Bi 0.500 0.000 0.000
Bi3 Bi 0.000 0.500 0.000
```

Values from the calculation:
As for the magnetization: 0.0 Bohr magnetons per cell. The symmetry is Pm-3m, No. 221.

***

Verdict on stability: *a* comes out on top.

***

*a*
A crystal of MgTeOs2 relaxed with PBEsol, computed with meta-GGA SCAN.

Cell and atoms, written as CIF:
```
data_MgTeOs2
_chemical_formula_sum 'Mg1 Te1 Os2'
_cell_length_a 2.935
_cell_length_b 2.935
_cell_length_c 8.279
_cell_angle_alpha 90.00
_cell_angle_beta 90.00
_cell_angle_gamma 90.00
_space_group_name_H-M_alt 'P 1'
_space_group_IT_number 1
loop_
_space_group_symop_operation_xyz
'x,y,z'
loop_
_atom_site_label
_atom_site_type_symbol
_atom_site_fract_x
_atom_site_fract_y
_atom_site_fract_z
Te1 Te 0.000 0.000 0.474
Os1 Os 0.000 0.000 0.021
Mg1 Mg 0.500 0.500 0.795
Os2 Os 0.500 0.500 0.210
```

Values from the calculation:
As for the magnetization: 0.0 Bohr magnetons per cell. The symmetry is P4mm, No. 99.

***

*b*
A crystal of MgTeOs2 relaxed with PBEsol, computed with meta-GGA SCAN.

Cell and atoms, written as CIF:
```
data_MgTeOs2
_chemical_formula_sum 'Mg1 Te1 Os2'
_cell_length_a 4.449
_cell_length_b 4.449
_cell_length_c 4.449
_cell_angle_alpha 60.00
_cell_angle_beta 60.00
_cell_angle_gamma 60.00
_space_group_name_H-M_alt 'P 1'
_space_group_IT_number 1
loop_
_space_group_symop_operation_xyz
'x,y,z'
loop_
_atom_site_label
_atom_site_type_symbol
_atom_site_fract_x
_atom_site_fract_y
_atom_site_fract_z
Mg1 Mg 0.500 0.500 0.500
Os1 Os 0.250 0.250 0.250
Te1 Te 0.000 0.000 0.000
Os2 Os 0.750 0.750 0.750
```

Values from the calculation:
As for the magnetization: 0.0 Bohr magnetons per cell. The symmetry is Fm-3m, No. 225.

***

Verdict on stability: *b* comes out on top.

***

*a*
A crystal of LaYBr2 relaxed with PBEsol, computed with meta-GGA SCAN.

Cell and atoms, written as CIF:
```
data_LaYBr2
_chemical_formula_sum 'La1 Y1 Br2'
_cell_length_a 3.636
_cell_length_b 5.128
_cell_length_c 5.128
_cell_angle_alpha 90.00
_cell_angle_beta 90.00
_cell_angle_gamma 90.00
_space_group_name_H-M_alt 'P 1'
_space_group_IT_number 1
loop_
_space_group_symop_operation_xyz
'x,y,z'
loop_
_atom_site_label
_atom_site_type_symbol
_atom_site_fract_x
_atom_site_fract_y
_atom_site_fract_z
Y1 Y 0.500 0.000 0.000
La1 La 0.500 0.500 0.500
Br1 Br 0.000 0.000 0.500
Br2 Br 0.000 0.500 0.000
```

Values from the calculation:
As for the magnetization: 0.0 Bohr magnetons per cell. The symmetry is P4/mmm, No. 123.

***

*b*
A crystal of LaYBr2 relaxed with PBEsol, computed with meta-GGA SCAN.

Cell and atoms, written as CIF:
```
data_LaYBr2
_chemical_formula_sum 'La1 Y1 Br2'
_cell_length_a 5.141
_cell_length_b 5.141
_cell_length_c 5.141
_cell_angle_alpha 60.00
_cell_angle_beta 60.00
_cell_angle_gamma 60.00
_space_group_name_H-M_alt 'P 1'
_space_group_IT_number 1
loop_
_space_group_symop_operation_xyz
'x,y,z'
loop_
_atom_site_label
_atom_site_type_symbol
_atom_site_fract_x
_atom_site_fract_y
_atom_site_fract_z
Br1 Br 0.250 0.250 0.250
Y1 Y 0.000 0.000 0.000
Br2 Br 0.750 0.750 0.750
La1 La 0.500 0.500 0.500
```

Values from the calculation:
As for the magnetization: 0.0 Bohr magnetons per cell. The symmetry is Fm-3m, No. 225.

***

*c*
A crystal of LaYBr2 relaxed with PBEsol, computed with meta-GGA SCAN.

Cell and atoms, written as CIF:
```
data_LaYBr2
_chemical_formula_sum 'La1 Y1 Br2'
_cell_length_a 3.613
_cell_length_b 4.981
_cell_length_c 6.261
_cell_angle_alpha 101.90
_cell_angle_beta 90.00
_cell_angle_gamma 111.26
_space_group_name_H-M_alt 'P 1'
_space_group_IT_number 1
loop_
_space_group_symop_operation_xyz
'x,y,z'
loop_
_atom_site_label
_atom_site_type_symbol
_atom_site_fract_x
_atom_site_fract_y
_atom_site_fract_z
La1 La 0.500 0.000 0.000
Y1 Y 0.000 0.000 0.500
Br1 Br 0.749 0.498 0.738
Br2 Br 0.251 0.502 0.262
```

Values from the calculation:
As for the magnetization: 0.0 Bohr magnetons per cell. The symmetry is C2/m, No. 12.

***

Verdict on stability: *c* comes out on top.

***

*a*
A crystal of La2TaAu relaxed with PBEsol, computed with meta-GGA SCAN.

Cell and atoms, written as CIF:
```
data_La2TaAu
_chemical_formula_sum 'La2 Ta1 Au1'
_cell_length_a 3.324
_cell_length_b 5.295
_cell_length_c 6.493
_cell_angle_alpha 114.06
_cell_angle_beta 104.83
_cell_angle_gamma 90.00
_space_group_name_H-M_alt 'P 1'
_space_group_IT_number 1
loop_
_space_group_symop_operation_xyz
'x,y,z'
loop_
_atom_site_label
_atom_site_type_symbol
_atom_site_fract_x
_atom_site_fract_y
_atom_site_fract_z
La1 La 0.774 0.774 0.548
Au1 Au 0.218 0.218 0.436
La2 La 0.976 0.476 0.952
Ta1 Ta 0.532 0.032 0.064
```

Values from the calculation:
As for the magnetization: 0.0 Bohr magnetons per cell. The symmetry is Imm2, No. 44.

***

*b*
A crystal of La2TaAu relaxed with PBEsol, computed with meta-GGA SCAN.

Cell and atoms, written as CIF:
```
data_La2TaAu
_chemical_formula_sum 'La2 Ta1 Au1'
_cell_length_a 3.245
_cell_length_b 5.508
_cell_length_c 5.508
_cell_angle_alpha 90.00
_cell_angle_beta 90.00
_cell_angle_gamma 90.00
_space_group_name_H-M_alt 'P 1'
_space_group_IT_number 1
loop_
_space_group_symop_operation_xyz
'x,y,z'
loop_
_atom_site_label
_atom_site_type_symbol
_atom_site_fract_x
_atom_site_fract_y
_atom_site_fract_z
La1 La 0.000 0.500 0.000
Ta1 Ta 0.500 0.500 0.500
La2 La 0.000 0.000 0.500
Au1 Au 0.500 0.000 0.000
```

Values from the calculation:
As for the magnetization: 0.0 Bohr magnetons per cell. The symmetry is P4/mmm, No. 123.

***

Verdict on stability: *a* comes out on top.

***

*a*
A crystal of Mg2InSb relaxed with PBEsol, computed with meta-GGA SCAN.

Cell and atoms, written as CIF:
```
data_Mg2InSb
_chemical_formula_sum 'Mg2 In1 Sb1'
_cell_length_a 4.555
_cell_length_b 4.809
_cell_length_c 5.405
_cell_angle_alpha 116.41
_cell_angle_beta 114.92
_cell_angle_gamma 90.00
_space_group_name_H-M_alt 'P 1'
_space_group_IT_number 1
loop_
_space_group_symop_operation_xyz
'x,y,z'
loop_
_atom_site_label
_atom_site_type_symbol
_atom_site_fract_x
_atom_site_fract_y
_atom_site_fract_z
Sb1 Sb 0.500 0.000 0.000
Mg1 Mg 0.751 0.751 0.502
In1 In 0.000 0.500 0.000
Mg2 Mg 0.249 0.249 0.498
```

Values from the calculation:
As for the magnetization: 0.0 Bohr magnetons per cell. The symmetry is Immm, No. 71.

***

*b*
A crystal of Mg2InSb relaxed with PBEsol, computed with meta-GGA SCAN.

Cell and atoms, written as CIF:
```
data_Mg2InSb
_chemical_formula_sum 'Mg2 In1 Sb1'
_cell_length_a 3.452
_cell_length_b 4.977
_cell_length_c 6.055
_cell_angle_alpha 102.46
_cell_angle_beta 90.00
_cell_angle_gamma 110.29
_space_group_name_H-M_alt 'P 1'
_space_group_IT_number 1
loop_
_space_group_symop_operation_xyz
'x,y,z'
loop_
_atom_site_label
_atom_site_type_symbol
_atom_site_fract_x
_atom_site_fract_y
_atom_site_fract_z
Mg1 Mg 0.250 0.500 0.263
In1 In 0.000 0.000 0.500
Mg2 Mg 0.750 0.500 0.737
Sb1 Sb 0.500 0.000 0.000
```

Values from the calculation:
As for the magnetization: 0.0 Bohr magnetons per cell. The symmetry is C2/m, No. 12.

***

Verdict on stability: *a* comes out on top.

***

*a*
A crystal of IrRu2Rh relaxed with PBEsol, computed with meta-GGA SCAN.

Cell and atoms, written as CIF:
```
data_IrRu2Rh
_chemical_formula_sum 'Ir1 Ru2 Rh1'
_cell_length_a 2.673
_cell_length_b 2.673
_cell_length_c 8.880
_cell_angle_alpha 81.36
_cell_angle_beta 81.36
_cell_angle_gamma 60.00
_space_group_name_H-M_alt 'P 1'
_space_group_IT_number 1
loop_
_space_group_symop_operation_xyz
'x,y,z'
loop_
_atom_site_label
_atom_site_type_symbol
_atom_site_fract_x
_atom_site_fract_y
_atom_site_fract_z
Ir1 Ir 0.500 0.500 0.500
Rh1 Rh 0.000 0.000 0.000
Ru1 Ru 0.750 0.750 0.750
Ru2 Ru 0.250 0.250 0.250
```

Values from the calculation:
As for the magnetization: 0.0 Bohr magnetons per cell. The symmetry is R-3m, No. 166.

***

*b*
A crystal of IrRu2Rh relaxed with PBEsol, computed with meta-GGA SCAN.

Cell and atoms, written as CIF:
```
data_IrRu2Rh
_chemical_formula_sum 'Ir1 Ru2 Rh1'
_cell_length_a 2.672
_cell_length_b 4.625
_cell_length_c 4.640
_cell_angle_alpha 99.56
_cell_angle_beta 106.74
_cell_angle_gamma 90.00
_space_group_name_H-M_alt 'P 1'
_space_group_IT_number 1
loop_
_space_group_symop_operation_xyz
'x,y,z'
loop_
_atom_site_label
_atom_site_type_symbol
_atom_site_fract_x
_atom_site_fract_y
_atom_site_fract_z
Ru1 Ru 0.249 0.249 0.498
Ir1 Ir 0.500 0.000 0.000
Rh1 Rh 0.000 0.500 0.000
Ru2 Ru 0.751 0.751 0.502
```

Values from the calculation:
As for the magnetization: 0.0 Bohr magnetons per cell. The symmetry is C2/m, No. 12.

***

Verdict on stability: *b* comes out on top.

***

*a*
A crystal of Tl2BiAu2 relaxed with PBEsol, computed with meta-GGA SCAN.

Cell and atoms, written as CIF:
```
data_Tl2BiAu2
_chemical_formula_sum 'Tl2 Bi1 Au2'
_cell_length_a 3.767
_cell_length_b 3.767
_cell_length_c 9.449
_cell_angle_alpha 101.50
_cell_angle_beta 101.50
_cell_angle_gamma 90.00
_space_group_name_H-M_alt 'P 1'
_space_group_IT_number 1
loop_
_space_group_symop_operation_xyz
'x,y,z'
loop_
_atom_site_label
_atom_site_type_symbol
_atom_site_fract_x
_atom_site_fract_y
_atom_site_fract_z
Bi1 Bi 0.000 0.000 0.000
Tl1 Tl 0.616 0.616 0.232
Tl2 Tl 0.384 0.384 0.768
Au1 Au 0.250 0.750 0.500
Au2 Au 0.750 0.250 0.500
```

Values from the calculation:
As for the magnetization: 0.0 Bohr magnetons per cell. The symmetry is I4/mmm, No. 139.

***

*b*
A crystal of Tl2BiAu2 relaxed with PBEsol, computed with meta-GGA SCAN.

Cell and atoms, written as CIF:
```
data_Tl2BiAu2
_chemical_formula_sum 'Tl2 Bi1 Au2'
_cell_length_a 4.297
_cell_length_b 4.297
_cell_length_c 7.238
_cell_angle_alpha 107.27
_cell_angle_beta 107.27
_cell_angle_gamma 90.00
_space_group_name_H-M_alt 'P 1'
_space_group_IT_number 1
loop_
_space_group_symop_operation_xyz
'x,y,z'
loop_
_atom_site_label
_atom_site_type_symbol
_atom_site_fract_x
_atom_site_fract_y
_atom_site_fract_z
Bi1 Bi 0.000 0.000 0.000
Au1 Au 0.400 0.400 0.800
Au2 Au 0.600 0.600 0.200
Tl1 Tl 0.750 0.250 0.500
Tl2 Tl 0.250 0.750 0.500
```

Values from the calculation:
As for the magnetization: 0.0 Bohr magnetons per cell. The symmetry is I4/mmm, No. 139.

***

Verdict on stability: *a* comes out on top.